First-principles (PBE) data for K4Sr3UO8 after structural relaxation, as listed in Alexandria via LeMat-Bulk.

Output
DFT total energy (eV per atom): -6.19

CIF file:
```
data_K4Sr3UO8
_cell_length_a 7.3618
_cell_length_b 7.3618
_cell_length_c 18.7732
_cell_angle_alpha 90.00
_cell_angle_beta 90.00
_cell_angle_gamma 120.00
_space_group_name_H-M_alt 'R -3 m'
_space_group_IT_number 166
_space_group_name_Hall '-R 3 2"'
loop_
_atom_site_label
_atom_site_type_symbol
_atom_site_fract_x
_atom_site_fract_y
_atom_site_fract_z
K1 K 0.0000 0.0000 0.0000
K2 K 0.0000 0.5000 0.0000
Sr1 Sr 0.0000 0.5000 0.5000
U1 U 0.0000 0.0000 0.5000
O1 O 0.0000 0.0000 0.2336
O2 O 0.0540 0.5270 0.2291
```